No. 1
Computed, not measured: an optimized crystal structure of TlSnHgAu2 at the PBE-GGA level of DFT.

a = 4.766 Å, b = 7.756 Å, c = 8.135 Å
α = 87.34°, β = 72.97°, γ = 72.11°
Sites, in units of the cell vectors:
Tl 0.843 0.634 0.681
Tl 0.157 0.366 0.319
Sn 0.090 0.043 0.777
Sn 0.910 0.957 0.223
Hg 0.410 0.348 0.833
Hg 0.590 0.652 0.167
Au 0.316 0.963 0.405
Au 0.684 0.037 0.595
Au 0.823 0.285 0.068
Au 0.177 0.715 0.932

Results
**Fermi-level density of states**: 0.29 states/eV per atom
**ΔH_f (0 K)**: -0.059 eV per atom
**Theoretical density**: 11.15 g/cm3
**Space group**: No. 12
**Total DFT energy (no corrections)**: -2.704 eV/atom

=====

No. 2
Computed, not measured: an optimized crystal structure of Ga2HgPdO at the PBE-GGA level of DFT.

a = 4.530 Å, b = 4.291 Å, c = 4.530 Å
α = 90.00°, β = 90.00°, γ = 90.00°
Sites, in units of the cell vectors:
O 0.000 0.000 0.000
Ga 0.000 0.000 0.500
Ga 0.500 0.000 0.000
Hg 0.500 0.500 0.500
Pd 0.000 0.500 0.000

Results
**Fermi-level density of states**: 0.25 states/eV per atom
**Formation energy from raw total energies**: -199.6 meV/atom
**Theoretical density**: 8.72 g/cm3
**Space group**: No. 123
**Total DFT energy (no corrections)**: -3.501 eV/atom

=====

No. 3
Computed, not measured: an optimized crystal structure of PmZnBiPt at the PBE-GGA level of DFT.

a = 5.032 Å, b = 5.032 Å, c = 5.032 Å
α = 60.00°, β = 60.00°, γ = 60.00°
Sites, in units of the cell vectors:
Zn 0.250 0.250 0.250
Bi 0.000 0.000 0.000
Pt 0.750 0.750 0.750
Pm 0.500 0.500 0.500

Results
**Fermi-level density of states**: 0.17 states/eV per atom
**ΔH_f (0 K)**: -0.558 eV per atom
**Theoretical density**: 11.33 g/cm3
**Space group**: No. 216
**Total DFT energy (no corrections)**: -4.544 eV/atom

=====

No. 4
Computed, not measured: an optimized crystal structure of MgCuSnW2 at the PBE-GGA level of DFT.

a = 4.763 Å, b = 4.763 Å, c = 4.291 Å
α = 90.00°, β = 90.00°, γ = 90.00°
Sites, in units of the cell vectors:
Mg 0.000 0.000 0.000
Cu 0.000 0.000 0.500
Sn 0.500 0.500 0.500
W 0.000 0.500 0.000
W 0.500 0.000 0.000

Results
**Fermi-level density of states**: 1.13 states/eV per atom
**ΔH_f (0 K)**: 1.949 eV per atom
**Theoretical density**: 9.79 g/cm3
**Space group**: No. 123
**Total DFT energy (no corrections)**: -5.171 eV/atom